PmHo5Mg: relaxed, GGA-PBE.

Cell: 10.846 6.491 7.064 Å, 117.35 140.15 90.00°
Fractional coordinates of all 7 atoms:
Ho 0.834 0.759 0.519
Ho 0.358 0.236 0.000
Ho 0.358 0.764 0.000
Ho 0.315 0.241 0.481
Ho 0.107 0.500 0.000
Mg 0.831 0.500 0.000
Pm 0.728 0.000 0.000

The calculation puts the total magnetic moment at 0.0 μB per cell. For the theoretical density, the calculation gives 7.4 g/cm3. As for the formation energy: 0.23 eV/atom. Its crystal system is orthorhombic.